Mn2AlPbAu: PBEsol geometry, meta-GGA SCAN.

a b c (Å): 5.060 5.060 5.178
angles (deg): 90.00 90.00 90.00
Space group P4/mmm (No. 123)
Symmetry-distinct sites (fractional):
Mn: 0.000 0.500 0.000 (multiplicity 2)
Al: 0.000 0.000 0.500 (multiplicity 1)
Pb: 0.500 0.500 0.000 (multiplicity 1)
Au: 0.500 0.500 0.500 (multiplicity 1)

Computed properties:
Fermi-level density of states: 0.412 states/eV/atom
V: 133 Å³ per cell
Electronic total energy: -36.991 eV per atom
Total magnetic moment: 8.490 μB/f.u.
E_form: 4.25 eV/f.u.

Mn2CdIn: PBEsol geometry, meta-GGA SCAN.

a b c (Å): 4.102 4.102 3.841
angles (deg): 90.00 90.00 90.00
Space group P4/mmm (No. 123)
Symmetry-distinct sites (fractional):
Mn: 0.000 0.500 0.000 (multiplicity 2)
Cd: 0.000 0.000 0.500 (multiplicity 1)
In: 0.500 0.500 0.500 (multiplicity 1)

Computed properties:
Fermi-level density of states: 0.737 states/eV/atom
V: 65 Å³ per cell
Electronic total energy: -25.092 eV per atom
Total magnetic moment: 7.336 μB/f.u.
E_form: -0.06 eV/f.u.

SrLaMnMoO6: PBEsol geometry, meta-GGA SCAN.

a b c (Å): 5.571 5.639 9.601
angles (deg): 90.00 125.45 90.00
Space group Pc (No. 7)
Symmetry-distinct sites (fractional):
Sr: 0.000 0.218 0.000 (multiplicity 2)
La: 0.512 0.294 0.498 (multiplicity 2)
Mn: 0.256 0.246 0.750 (multiplicity 2)
Mo: 0.756 0.247 0.250 (multiplicity 2)
O: 0.080 0.236 0.497 (multiplicity 2)
O: 0.446 0.266 0.003 (multiplicity 2)
O: 0.509 0.046 0.290 (multiplicity 2)
O: 0.579 0.478 0.787 (multiplicity 2)
O: 0.912 0.037 0.710 (multiplicity 2)
O: 0.999 0.463 0.218 (multiplicity 2)

Computed properties:
Fermi-level density of states: 0.296 states/eV/atom
Uncorrected formation energy: -2.812 eV/atom
V: 246 Å³ per cell
Electronic total energy: -18.403 eV per atom
Total magnetic moment: 3.738 μB/f.u.

MgSc3: PBEsol geometry, meta-GGA SCAN.

a b c (Å): 3.218 5.199 5.604
angles (deg): 90.00 90.00 90.00
Space group Pmm2 (No. 25)
Symmetry-distinct sites (fractional):
Mg: 0.000 0.000 0.000 (multiplicity 1)
Sc: 0.000 0.500 0.332 (multiplicity 1)
Sc: 0.500 0.000 0.493 (multiplicity 1)
Sc: 0.500 0.500 0.825 (multiplicity 1)

Computed properties:
Fermi-level density of states: 1.096 states/eV/atom
Energy above the most stable polymorph in this dataset: 14.3 kJ/mol of formula units
V: 94 Å³ per cell
Electronic total energy: -11.899 eV per atom
Total magnetic moment: 2.340 μB/f.u.
E_form: 0.09 eV/f.u.

LiMg2Au2: PBEsol geometry, meta-GGA SCAN.

a b c (Å): 4.150 4.150 11.981
angles (deg): 90.00 90.00 90.00
Space group I4/mmm (No. 139)
Symmetry-distinct sites (fractional):
Li: 0.000 0.000 0.000 (multiplicity 2)
Mg: 0.000 0.500 0.250 (multiplicity 4)
Au: 0.000 0.000 0.391 (multiplicity 4)

Computed properties:
Fermi-level density of states: 0.327 states/eV/atom
Energy above the most stable polymorph in this dataset: 74.6 kJ/mol of formula units
V: 206 Å³ per cell
Electronic total energy: -30.640 eV per atom
Total magnetic moment: 0.000 μB/f.u.
E_form: -2.55 eV/f.u.

Mo2RhW: PBEsol geometry, meta-GGA SCAN.

a b c (Å): 3.885 3.885 7.935
angles (deg): 90.00 90.00 90.00
Space group I-4m2 (No. 119)
Symmetry-distinct sites (fractional):
Mo: 0.000 0.000 0.000 (multiplicity 2)
Mo: 0.000 0.500 0.250 (multiplicity 2)
Rh: 0.000 0.000 0.500 (multiplicity 2)
W: 0.000 0.500 0.750 (multiplicity 2)

Computed properties:
Fermi-level density of states: 0.940 states/eV/atom
Energy above the most stable polymorph in this dataset: 25.6 kJ/mol of formula units
V: 120 Å³ per cell
Electronic total energy: -43.163 eV per atom
Total magnetic moment: 0.000 μB/f.u.
E_form: 0.58 eV/f.u.

MgRuPt2: PBEsol geometry, meta-GGA SCAN.

a b c (Å): 5.515 7.692 2.746
angles (deg): 90.00 90.00 90.00
Space group Cmmm (No. 65)
Symmetry-distinct sites (fractional):
Mg: 0.000 0.000 0.000 (multiplicity 2)
Ru: 0.000 0.500 0.000 (multiplicity 2)
Pt: 0.250 0.250 0.500 (multiplicity 4)

Computed properties:
Fermi-level density of states: 0.757 states/eV/atom
V: 117 Å³ per cell
Electronic total energy: -45.525 eV per atom
Total magnetic moment: 0.000 μB/f.u.
E_form: -1.91 eV/f.u.

MgTl2Cr: PBEsol geometry, meta-GGA SCAN.

a b c (Å): 3.803 3.803 6.088
angles (deg): 90.00 90.00 90.00
Space group P4mm (No. 99)
Symmetry-distinct sites (fractional):
Mg: 0.000 0.000 0.000 (multiplicity 1)
Tl: 0.000 0.000 0.528 (multiplicity 1)
Tl: 0.500 0.500 0.239 (multiplicity 1)
Cr: 0.500 0.500 0.749 (multiplicity 1)

Computed properties:
Fermi-level density of states: 0.495 states/eV/atom
V: 88 Å³ per cell
Electronic total energy: -41.854 eV per atom
Total magnetic moment: 4.218 μB/f.u.
E_form: 0.66 eV/f.u.